## PbI (PBE-GGA)

Data for PbI after structural relaxation.

Summary:
ΔE_f (raw) (eV/f.u.): -0.22
DFT total energy (eV/atom): -2.74
Volume (Å³/cell): 529.03
Space group: No. 176

POSCAR file:
```
PbI
1.0
12.2793 0.0000 0.0000
-6.1396 10.6342 0.0000
0.0000 0.0000 4.0514
Pb I
6 6
Direct
0.0208 0.2338 0.2500 Pb
0.2130 0.9792 0.2500 Pb
0.2338 0.2130 0.7500 Pb
0.7662 0.7870 0.2500 Pb
0.7870 0.0208 0.7500 Pb
0.9792 0.7662 0.7500 Pb
0.1339 0.6806 0.2500 I
0.3194 0.4533 0.2500 I
0.4533 0.1339 0.7500 I
0.5467 0.8661 0.2500 I
0.6806 0.5467 0.7500 I
0.8661 0.3194 0.7500 I
```


## CaNd2AgTe4 (PBE-GGA)

Data for CaNd2AgTe4 after structural relaxation.

Summary:
ΔE_f (raw) (eV/f.u.): -9.47
DFT total energy (eV/atom): -4.55
Volume (Å³/cell): 253.88
Space group: No. 10

POSCAR file:
```
CaNd2AgTe4
1.0
7.6790 0.0000 0.0000
0.0000 4.4629 0.0000
-2.6682 0.0000 7.4082
Ca Nd Ag Te
1 2 1 4
Direct
0.0000 0.0000 0.0000 Ca
0.0000 0.5000 0.5000 Nd
0.5000 0.0000 0.5000 Nd
0.5000 0.5000 0.0000 Ag
0.2502 0.5000 0.2453 Te
0.2598 0.0000 0.7599 Te
0.7402 0.0000 0.2401 Te
0.7498 0.5000 0.7547 Te
```


## Tl3HgRh (PBE-GGA)

Data for Tl3HgRh after structural relaxation.

Summary:
DFT total energy (eV/atom): -2.85
Energy of formation (eV per atom): 0.10
E above lowest polymorph (meV per atom): 124.9
Volume (Å³/cell): 262.91
Space group: No. 11

POSCAR file:
```
Tl3HgRh
1.0
6.2376 0.0000 0.0000
0.0000 6.4828 0.0000
-1.8125 0.0000 6.5017
Tl Hg Rh
6 2 2
Direct
0.0017 0.9997 0.2670 Tl
0.0017 0.5003 0.2670 Tl
0.4291 0.2500 0.1270 Tl
0.5709 0.7500 0.8730 Tl
0.9983 0.0003 0.7330 Tl
0.9983 0.4997 0.7330 Tl
0.4356 0.2500 0.5868 Hg
0.5644 0.7500 0.4132 Hg
0.2332 0.7500 0.0578 Rh
0.7668 0.2500 0.9422 Rh
```